The following is a PBE-GGA calculation of Pm2ZnC2N6 after structural relaxation, from Alexandria.

The structure belongs to space group C2/m (No. 12); the cell edges are 9.652, 4.935 and 6.051 Å and the angles 90.00°, 117.39° and 90.00°. Symmetry generates all atoms from Pm at (0.200, 0.000, 0.194), Zn at (0.000, 0.000, 0.500), C at (0.030, 0.500, 0.261), N at (0.057, 0.267, 0.792) and N at (0.185, 0.500, 0.349).

Its raw total energy is -0.279 Ha/atom. The energy relative to the elements, uncorrected comes out at -0.3938 eV per atom.